(1)
First-principles (PBE) data for an optimized crystal structure of Y3NbAu, as listed in Alexandria.

a b c (Å): 5.3456 5.3456 5.3456
angles (deg): 90.00 90.00 90.00
With the nearest neighbours (Å) after each atom.
Fractional coordinates of all 5 atoms:
1 Y 0.0000 0.0000 0.5000  2 Nb 2.67
2 Y 0.0000 0.5000 0.0000  2 Nb 2.67
3 Y 0.5000 0.0000 0.0000  2 Nb 2.67
4 Nb 0.0000 0.0000 0.0000  6 Y 2.67
5 Au 0.5000 0.5000 0.5000  12 Y 3.78

Properties
**Density**: 6.05 g/cm³
**Symmetry**: Pm-3m
**ΔE_f**: 509.5 meV/atom



(2)
First-principles (PBE) data for an optimized crystal structure of RbMoI3, as listed in Alexandria.

a b c (Å): 6.7095 6.7095 6.7095
angles (deg): 90.00 90.00 90.00
With the nearest neighbours (Å) after each atom.
Fractional coordinates of all 5 atoms:
1 Rb 0.0000 0.0000 0.0000  6 I 3.35
2 Mo 0.5000 0.5000 0.5000  12 I 4.74
3 I 0.0000 0.0000 0.5000  2 Rb 3.35
4 I 0.0000 0.5000 0.0000  2 Rb 3.35
5 I 0.5000 0.0000 0.0000  2 Rb 3.35

Properties
**Density**: 3.09 g/cm³
**Symmetry**: Pm-3m
**Formation energy (no corrections)**: 0.79 eV per atom



(3)
First-principles (PBE) data for an optimized crystal structure of ZnIrAu2, as listed in Alexandria.

a b c (Å): 5.3884 5.3884 5.3884
angles (deg): 147.68 128.58 62.05
With the nearest neighbours (Å) after each atom.
Fractional coordinates of all 4 atoms:
1 Zn 0.0000 0.0000 0.0000  2 Ir 2.59, 6 Au 2.70-2.78
2 Ir 0.7717 0.2717 0.5000  2 Zn 2.59, 6 Au 2.79-2.85
3 Au 0.2430 0.7430 0.5000  2 Zn 2.70, 4 Ir 2.79, 4 Au 2.89-3.00
4 Au 0.5099 0.5099 0.0000  4 Zn 2.78, 2 Ir 2.85, 4 Au 2.89-3.00

Properties
**Density**: 16.71 g/cm³
**Symmetry**: Imm2
**ΔE_f**: 90.8 meV/atom



Number 1: magnetization 0.00 μB per atom. Number 2: magnetization 0.80 μB per atom. Number 3: magnetization 0.00 μB per atom.